Compound: InPb2W
Source: Alexandria
Functional: PBE-GGA
Structure: relaxed

Values from the calculation:
- Symmetry: Cmmm
- ΔE_f: 0.643 eV/atom

The structure in POSCAR format:
```
InPb2W
1.0
3.120 0.009 0.000
-0.909 2.985 0.000
0.000 0.000 11.054
Pb W In
2 1 1
Cartesian
0.000 0.000 5.063
0.000 0.000 0.464
1.106 1.497 2.764
1.106 1.497 8.291
```